A plane-wave DFT calculation with PBE was carried out for a relaxed structure of TaPt2Au.

The value obtained for the total energy is -112.9 eV for the cell shown. The formation energy comes out at -251 meV/atom. The density is 19.07 g/cm³. As for the offset from the most stable computed form: 224 meV per atom. As for the crystal system: cubic.

a b c (Å): 6.4433 6.4433 6.4433
angles (deg): 90.00 90.00 90.00
Space group F-43m (No. 216)
Symmetry-distinct sites (fractional):
Ta1 0.0000 0.0000 0.0000 (multiplicity 4)
Pt1 0.0000 0.0000 0.5000 (multiplicity 4)
Pt2 0.2500 0.2500 0.2500 (multiplicity 4)
Au1 0.2500 0.2500 0.7500 (multiplicity 4)